No. 1
A plane-wave DFT calculation with PBE-GGA was carried out for an optimized crystal structure of Tb2NpScS6.

Unit cell a=7.299 b=7.299 c=7.299 alpha=55.94 beta=55.94 gamma=55.94
Fractional coordinates of all 10 atoms:
Tb 0.000 0.000 0.000
Tb 0.496 0.496 0.496
Np 0.199 0.199 0.199
Sc 0.695 0.695 0.695
S 0.077 0.420 0.801
S 0.311 0.897 0.598
S 0.420 0.801 0.077
S 0.598 0.311 0.897
S 0.801 0.077 0.420
S 0.897 0.598 0.311

Values from the calculation:
Uncorrected formation energy   -1.791 eV/atom
Total magnetic moment   4.000 μB/cell
ρ   5.280 g cm⁻³

No. 2
A plane-wave DFT calculation with PBE-GGA was carried out for an optimized crystal structure of SmHgBi.

Unit cell a=5.669 b=5.669 c=5.669 alpha=135.15 beta=135.15 gamma=65.29
Fractional coordinates of all 3 atoms:
Sm 0.000 0.000 0.000
Hg 0.675 0.675 0.000
Bi 0.347 0.347 0.000

Values from the calculation:
E_form   -0.436 eV/atom
Offset from the most stable computed form   73 meV/atom
Total magnetic moment   0.000 μB/cell
ρ   10.417 g cm⁻³

No. 3
A plane-wave DFT calculation with PBE-GGA was carried out for an optimized crystal structure of Te2MoAs.

Unit cell a=5.022 b=5.022 c=3.401 alpha=90.00 beta=90.00 gamma=90.00
Fractional coordinates of all 4 atoms:
Te 0.000 0.500 0.000
Te 0.500 0.000 0.000
Mo 0.000 0.000 0.500
As 0.500 0.500 0.500

Values from the calculation:
Uncorrected formation energy   0.608 eV/atom
Total magnetic moment   1.582 μB/cell
ρ   8.249 g cm⁻³

No. 4
A plane-wave DFT calculation with PBE-GGA was carried out for an optimized crystal structure of Rb3Li2TmCl9.

Unit cell a=7.245 b=7.245 c=9.102 alpha=90.00 beta=90.00 gamma=120.00
Fractional coordinates of all 15 atoms:
Rb 0.000 0.000 0.000
Rb 0.333 0.667 0.678
Rb 0.667 0.333 0.322
Li 0.333 0.667 0.156
Li 0.667 0.333 0.844
Tm 0.000 0.000 0.500
Cl 0.000 0.500 0.000
Cl 0.168 0.335 0.334
Cl 0.168 0.832 0.334
Cl 0.335 0.168 0.666
Cl 0.500 0.000 0.000
Cl 0.500 0.500 0.000
Cl 0.665 0.832 0.334
Cl 0.832 0.168 0.666
Cl 0.832 0.665 0.666

Values from the calculation:
Uncorrected formation energy   -1.847 eV/atom
Total magnetic moment   0.936 μB/cell
ρ   3.044 g cm⁻³

No. 5
A plane-wave DFT calculation with PBE-GGA was carried out for an optimized crystal structure of NaLiTlPt.

Unit cell a=4.756 b=4.756 c=4.756 alpha=60.00 beta=60.00 gamma=60.00
Fractional coordinates of all 4 atoms:
Na 0.000 0.000 0.000
Li 0.250 0.250 0.250
Tl 0.750 0.750 0.750
Pt 0.500 0.500 0.500

Values from the calculation:
E_form   -0.263 eV/atom
Total magnetic moment   0.000 μB/cell
ρ   9.374 g cm⁻³

No. 6
A plane-wave DFT calculation with PBE-GGA was carried out for an optimized crystal structure of LaEr4Se5.

Unit cell a=10.874 b=10.874 c=10.874 alpha=158.42 beta=149.07 gamma=38.03
Fractional coordinates of all 10 atoms:
La 0.000 0.000 0.000
Er 0.204 0.204 0.000
Er 0.401 0.401 0.000
Er 0.599 0.599 0.000
Er 0.796 0.796 0.000
Se 0.108 0.608 0.500
Se 0.302 0.802 0.500
Se 0.500 0.000 0.500
Se 0.698 0.198 0.500
Se 0.892 0.392 0.500

Values from the calculation:
Uncorrected formation energy   -1.738 eV/atom
Total magnetic moment   0.000 μB/cell
ρ   8.226 g cm⁻³

No. 7
A plane-wave DFT calculation with PBE-GGA was carried out for an optimized crystal structure of TlZnRe.

Unit cell a=4.515 b=4.515 c=4.515 alpha=60.00 beta=60.00 gamma=60.00
Fractional coordinates of all 3 atoms:
Tl 0.000 0.000 0.000
Zn 0.500 0.500 0.500
Re 0.250 0.250 0.250

Values from the calculation:
E_form   1.145 eV/atom
Offset from the most stable computed form   415 meV/atom
Total magnetic moment   1.913 μB/cell
ρ   11.636 g cm⁻³

No. 8
A plane-wave DFT calculation with PBE-GGA was carried out for an optimized crystal structure of BaEuHg.

Unit cell a=5.687 b=5.687 c=5.687 alpha=60.00 beta=60.00 gamma=60.00
Fractional coordinates of all 3 atoms:
Ba 0.000 0.000 0.000
Eu 0.500 0.500 0.500
Hg 0.250 0.250 0.250

Values from the calculation:
E_form   -0.239 eV/atom
Offset from the most stable computed form   120 meV/atom
Total magnetic moment   7.611 μB/cell
ρ   6.254 g cm⁻³

No. 9
A plane-wave DFT calculation with PBE-GGA was carried out for an optimized crystal structure of LiTmSb.

Unit cell a=7.331 b=4.344 c=12.810 alpha=90.00 beta=90.27 gamma=90.00
Fractional coordinates of all 18 atoms:
Li 0.005 0.250 0.093
Li 0.157 0.250 0.454
Li 0.358 0.750 0.805
Li 0.642 0.250 0.195
Li 0.843 0.750 0.546
Li 0.995 0.750 0.907
Tm 0.024 0.250 0.702
Tm 0.347 0.750 0.077
Tm 0.478 0.750 0.378
Tm 0.522 0.250 0.622
Tm 0.653 0.250 0.923
Tm 0.976 0.750 0.298
Sb 0.228 0.250 0.913
Sb 0.232 0.750 0.576
Sb 0.270 0.250 0.247
Sb 0.730 0.750 0.753
Sb 0.768 0.250 0.424
Sb 0.772 0.750 0.087

Values from the calculation:
Offset from the most stable computed form   0 meV/atom
Uncorrected formation energy   -0.755 eV/atom
Total magnetic moment   0.001 μB/cell
ρ   7.268 g cm⁻³

No. 10
A plane-wave DFT calculation with PBE-GGA was carried out for an optimized crystal structure of SiTcSe4.

Unit cell a=5.627 b=5.627 c=5.627 alpha=60.00 beta=60.00 gamma=60.00
Fractional coordinates of all 6 atoms:
Si 0.000 0.000 0.000
Tc 0.750 0.750 0.750
Se 0.375 0.375 0.375
Se 0.375 0.375 0.874
Se 0.375 0.874 0.375
Se 0.874 0.375 0.375

Values from the calculation:
Uncorrected formation energy   1.158 eV/atom
Total magnetic moment   3.691 μB/cell
ρ   5.826 g cm⁻³

No. 11
A plane-wave DFT calculation with PBE-GGA was carried out for an optimized crystal structure of CuSb2MoI.

Unit cell a=5.162 b=5.162 c=5.754 alpha=90.00 beta=90.00 gamma=90.00
Fractional coordinates of all 5 atoms:
Cu 0.000 0.000 0.000
Sb 0.000 0.500 0.500
Sb 0.500 0.000 0.500
Mo 0.500 0.500 0.500
I 0.500 0.500 0.000

Values from the calculation:
Offset from the most stable computed form   0 meV/atom
Uncorrected formation energy   0.841 eV/atom
Total magnetic moment   0.000 μB/cell
ρ   5.740 g cm⁻³

No. 12
A plane-wave DFT calculation with PBE-GGA was carried out for an optimized crystal structure of ThMg2Co9.

Unit cell a=8.433 b=8.433 c=8.433 alpha=33.74 beta=33.74 gamma=33.74
Fractional coordinates of all 12 atoms:
Th 0.000 0.000 0.000
Mg 0.144 0.144 0.144
Mg 0.856 0.856 0.856
Co 0.078 0.589 0.589
Co 0.336 0.336 0.336
Co 0.411 0.411 0.922
Co 0.411 0.922 0.411
Co 0.500 0.500 0.500
Co 0.589 0.078 0.589
Co 0.589 0.589 0.078
Co 0.664 0.664 0.664
Co 0.922 0.411 0.411

Values from the calculation:
E_form   -0.090 eV/atom
Total magnetic moment   11.791 μB/cell
ρ   8.171 g cm⁻³